(1)
## TbCdGa2 (PBE)

Data for a relaxed structure of TbCdGa2.

The structure in CIF format:
```
data_TbCdGa2
_chemical_formula_sum 'Tb3 Cd3 Ga6'
_cell_length_a 4.4713
_cell_length_b 4.4713
_cell_length_c 15.1635
_cell_angle_alpha 90.00
_cell_angle_beta 90.00
_cell_angle_gamma 120.00
_symmetry_space_group_name_H-M 'R -3 m'
_symmetry_Int_Tables_number 166
_symmetry_space_group_name_Hall '-R 3 2"'
loop_
_atom_site_label
_atom_site_type_symbol
_atom_site_fract_x
_atom_site_fract_y
_atom_site_fract_z
Tb1 Tb 0.0000 0.0000 0.0000
Cd1 Cd 0.0000 0.0000 0.5000
Ga1 Ga 0.0000 0.0000 0.2292
```

Properties
**Spin magnetization**: 0.0 μB per formula unit
**Formation energy**: -0.35 eV per atom
**Crystal system**: trigonal
**Raw total energy**: -3.251 eV per atom

=====

(2)
## TmOs2O8 (PBE)

Data for a relaxed structure of TmOs2O8.

The structure in CIF format:
```
data_TmOs2O8
_chemical_formula_sum 'Tm1 Os2 O8'
_cell_length_a 6.0829
_cell_length_b 6.0829
_cell_length_c 6.3276
_cell_angle_alpha 90.00
_cell_angle_beta 90.00
_cell_angle_gamma 120.00
_symmetry_space_group_name_H-M 'P -3 m 1'
_symmetry_Int_Tables_number 164
_symmetry_space_group_name_Hall '-P 3 2"'
loop_
_atom_site_label
_atom_site_type_symbol
_atom_site_fract_x
_atom_site_fract_y
_atom_site_fract_z
Tm1 Tm 0.0000 0.0000 0.0000
Os1 Os 0.3333 0.6667 0.7067
O1 O 0.1748 0.3495 0.8093
O2 O 0.3333 0.6667 0.4313
```

Properties
**Spin magnetization**: 2.9 μB per formula unit
**Crystal system**: trigonal
**Raw total energy**: -7.522 eV per atom
**Uncorrected formation energy**: -16.1 eV/f.u.

=====

(3)
## PmEu2Nb (PBE)

Data for a relaxed structure of PmEu2Nb.

The structure in CIF format:
```
data_PmEu2Nb
_chemical_formula_sum 'Pm3 Eu6 Nb3'
_cell_length_a 3.3327
_cell_length_b 3.3327
_cell_length_c 37.0486
_cell_angle_alpha 90.00
_cell_angle_beta 90.00
_cell_angle_gamma 120.00
_symmetry_space_group_name_H-M 'R -3 m'
_symmetry_Int_Tables_number 166
_symmetry_space_group_name_Hall '-R 3 2"'
loop_
_atom_site_label
_atom_site_type_symbol
_atom_site_fract_x
_atom_site_fract_y
_atom_site_fract_z
Pm1 Pm 0.0000 0.0000 0.0000
Eu1 Eu 0.0000 0.0000 0.4201
Nb1 Nb 0.0000 0.0000 0.5000
```

Properties
**Spin magnetization**: 15.2 μB per formula unit
**Formation energy**: 0.70 eV per atom
**Crystal system**: trigonal
**Raw total energy**: -8.144 eV per atom

=====

(4)
## AcMnAu4 (PBE)

Data for a relaxed structure of AcMnAu4.

The structure in CIF format:
```
data_AcMnAu4
_chemical_formula_sum 'Ac4 Mn4 Au16'
_cell_length_a 8.0521
_cell_length_b 8.0521
_cell_length_c 8.0521
_cell_angle_alpha 90.00
_cell_angle_beta 90.00
_cell_angle_gamma 90.00
_symmetry_space_group_name_H-M 'F -4 3 m'
_symmetry_Int_Tables_number 216
_symmetry_space_group_name_Hall 'F -4 2 3'
loop_
_atom_site_label
_atom_site_type_symbol
_atom_site_fract_x
_atom_site_fract_y
_atom_site_fract_z
Ac1 Ac 0.0000 0.0000 0.0000
Mn1 Mn 0.2500 0.2500 0.2500
Au1 Au 0.1239 0.1239 0.6239
```

Properties
**Spin magnetization**: 4.5 μB per formula unit
**Formation energy**: -0.24 eV per atom
**Crystal system**: cubic
**Raw total energy**: -4.633 eV per atom

=====

(5)
## Na2Si2Ge (PBE)

Data for a relaxed structure of Na2Si2Ge.

The structure in CIF format:
```
data_Na2Si2Ge
_chemical_formula_sum 'Na4 Si4 Ge2'
_cell_length_a 6.6333
_cell_length_b 6.6333
_cell_length_c 4.8743
_cell_angle_alpha 90.00
_cell_angle_beta 90.00
_cell_angle_gamma 90.00
_symmetry_space_group_name_H-M 'P 4/m b m'
_symmetry_Int_Tables_number 127
_symmetry_space_group_name_Hall '-P 4 2ab'
loop_
_atom_site_label
_atom_site_type_symbol
_atom_site_fract_x
_atom_site_fract_y
_atom_site_fract_z
Na1 Na 0.1775 0.3225 0.0000
Si1 Si 0.1254 0.6254 0.5000
Ge1 Ge 0.0000 0.0000 0.5000
```

Properties
**Spin magnetization**: 0.0 μB per formula unit
**Crystal system**: tetragonal
**Raw total energy**: -3.514 eV per atom
**Uncorrected formation energy**: 0.5 eV/f.u.

=====

(6)
## LaTc2Ni (PBE)

Data for a relaxed structure of LaTc2Ni.

The structure in CIF format:
```
data_LaTc2Ni
_chemical_formula_sum 'La1 Tc2 Ni1'
_cell_length_a 2.7904
_cell_length_b 2.7904
_cell_length_c 8.6797
_cell_angle_alpha 90.00
_cell_angle_beta 90.00
_cell_angle_gamma 90.00
_symmetry_space_group_name_H-M 'P 4/m m m'
_symmetry_Int_Tables_number 123
_symmetry_space_group_name_Hall '-P 4 2'
loop_
_atom_site_label
_atom_site_type_symbol
_atom_site_fract_x
_atom_site_fract_y
_atom_site_fract_z
La1 La 0.0000 0.0000 0.0000
Tc1 Tc 0.5000 0.5000 0.3053
Ni1 Ni 0.0000 0.0000 0.5000
```

Properties
**Spin magnetization**: 0.0 μB per formula unit
**Formation energy**: 0.44 eV per atom
**Crystal system**: tetragonal
**ΔE to the lowest computed polymorph**: 0.3851 eV per atom
**Raw total energy**: -7.419 eV per atom

=====

(7)
## ThNiP2Ir2 (PBE)

Data for a relaxed structure of ThNiP2Ir2.

The structure in CIF format:
```
data_ThNiP2Ir2
_chemical_formula_sum 'Th2 Ni2 P4 Ir4'
_cell_length_a 3.9663
_cell_length_b 3.9663
_cell_length_c 13.5277
_cell_angle_alpha 90.00
_cell_angle_beta 90.00
_cell_angle_gamma 90.00
_symmetry_space_group_name_H-M 'I 4/m m m'
_symmetry_Int_Tables_number 139
_symmetry_space_group_name_Hall '-I 4 2'
loop_
_atom_site_label
_atom_site_type_symbol
_atom_site_fract_x
_atom_site_fract_y
_atom_site_fract_z
Th1 Th 0.0000 0.0000 0.0000
Ni1 Ni 0.0000 0.0000 0.5000
P1 P 0.0000 0.0000 0.3457
Ir1 Ir 0.0000 0.5000 0.2500
```

Properties
**Spin magnetization**: 0.0 μB per formula unit
**Formation energy**: -0.65 eV per atom
**Crystal system**: tetragonal
**Raw total energy**: -7.607 eV per atom

=====

(8)
## RbPbSeBr2 (PBE)

Data for a relaxed structure of RbPbSeBr2.

The structure in CIF format:
```
data_RbPbSeBr2
_chemical_formula_sum 'Rb1 Pb1 Se1 Br2'
_cell_length_a 6.0038
_cell_length_b 6.0038
_cell_length_c 5.8651
_cell_angle_alpha 90.00
_cell_angle_beta 90.00
_cell_angle_gamma 90.00
_symmetry_space_group_name_H-M 'P 4/m m m'
_symmetry_Int_Tables_number 123
_symmetry_space_group_name_Hall '-P 4 2'
loop_
_atom_site_label
_atom_site_type_symbol
_atom_site_fract_x
_atom_site_fract_y
_atom_site_fract_z
Rb1 Rb 0.0000 0.0000 0.0000
Pb1 Pb 0.5000 0.5000 0.5000
Se1 Se 0.0000 0.0000 0.5000
Br1 Br 0.0000 0.5000 0.0000
```

Properties
**Spin magnetization**: 0.5 μB per formula unit
**Crystal system**: tetragonal
**ΔE to the lowest computed polymorph**: 0.8197 eV per atom
**Raw total energy**: -2.326 eV per atom
**Uncorrected formation energy**: -0.1 eV/f.u.

=====

(9)
## NbMoRh3 (PBE)

Data for a relaxed structure of NbMoRh3.

The structure in CIF format:
```
data_NbMoRh3
_chemical_formula_sum 'Nb1 Mo1 Rh3'
_cell_length_a 4.6242
_cell_length_b 4.6242
_cell_length_c 4.6242
_cell_angle_alpha 90.00
_cell_angle_beta 90.00
_cell_angle_gamma 90.00
_symmetry_space_group_name_H-M 'P m -3 m'
_symmetry_Int_Tables_number 221
_symmetry_space_group_name_Hall '-P 4 2 3'
loop_
_atom_site_label
_atom_site_type_symbol
_atom_site_fract_x
_atom_site_fract_y
_atom_site_fract_z
Nb1 Nb 0.0000 0.0000 0.0000
Mo1 Mo 0.5000 0.5000 0.5000
Rh1 Rh 0.0000 0.5000 0.5000
```

Properties
**Spin magnetization**: 0.0 μB per formula unit
**Formation energy**: 1.21 eV per atom
**Crystal system**: cubic
**ΔE to the lowest computed polymorph**: 1.1983 eV per atom
**Raw total energy**: -7.384 eV per atom

=====

(10)
## Al2GaFe (PBE)

Data for a relaxed structure of Al2GaFe.

The structure in CIF format:
```
data_Al2GaFe
_chemical_formula_sum 'Al2 Ga1 Fe1'
_cell_length_a 3.2261
_cell_length_b 3.2261
_cell_length_c 5.3584
_cell_angle_alpha 90.00
_cell_angle_beta 90.00
_cell_angle_gamma 90.00
_symmetry_space_group_name_H-M 'P 4/m m m'
_symmetry_Int_Tables_number 123
_symmetry_space_group_name_Hall '-P 4 2'
loop_
_atom_site_label
_atom_site_type_symbol
_atom_site_fract_x
_atom_site_fract_y
_atom_site_fract_z
Al1 Al 0.0000 0.0000 0.2322
Ga1 Ga 0.5000 0.5000 0.5000
Fe1 Fe 0.5000 0.5000 0.0000
```

Properties
**Spin magnetization**: 0.9 μB per formula unit
**Formation energy**: -0.15 eV per atom
**Crystal system**: tetragonal
**Raw total energy**: -4.890 eV per atom

=====

(11)
## Pm6SbIr2Se3 (PBE)

Data for a relaxed structure of Pm6SbIr2Se3.

The structure in CIF format:
```
data_Pm6SbIr2Se3
_chemical_formula_sum 'Pm12 Sb2 Ir4 Se6'
_cell_length_a 18.7543
_cell_length_b 4.1923
_cell_length_c 8.7039
_cell_angle_alpha 90.00
_cell_angle_beta 105.60
_cell_angle_gamma 90.00
_symmetry_space_group_name_H-M 'C 1 2/m 1'
_symmetry_Int_Tables_number 12
loop_
_symmetry_equiv_pos_as_xyz
'x,y,z'
'-x,-y,-z'
'-x,y,-z'
'x,-y,z'
'x+1/2,y+1/2,z'
'-x+1/2,-y+1/2,-z'
'-x+1/2,y+1/2,-z'
'x+1/2,-y+1/2,z'
loop_
_atom_site_label
_atom_site_type_symbol
_atom_site_fract_x
_atom_site_fract_y
_atom_site_fract_z
Pm1 Pm 0.0108 0.0000 0.2636
Pm2 Pm 0.1730 0.5000 0.1113
Pm3 Pm 0.1740 0.5000 0.5720
Sb1 Sb 0.0000 0.5000 0.0000
Ir1 Ir 0.1688 0.0000 0.3367
Se1 Se 0.0000 0.5000 0.5000
Se2 Se 0.1607 0.0000 0.8374
```

Properties
**Spin magnetization**: 0.0 μB per formula unit
**Crystal system**: monoclinic
**Raw total energy**: -6.367 eV per atom
**Uncorrected formation energy**: -15.6 eV/f.u.

=====

(12)
## Na2UP2N6 (PBE)

Data for a relaxed structure of Na2UP2N6.

The structure in CIF format:
```
data_Na2UP2N6
_chemical_formula_sum 'Na6 U3 P6 N18'
_cell_length_a 5.6793
_cell_length_b 5.6793
_cell_length_c 17.4574
_cell_angle_alpha 90.00
_cell_angle_beta 90.00
_cell_angle_gamma 120.00
_symmetry_space_group_name_H-M 'R -3 m'
_symmetry_Int_Tables_number 166
_symmetry_space_group_name_Hall '-R 3 2"'
loop_
_atom_site_label
_atom_site_type_symbol
_atom_site_fract_x
_atom_site_fract_y
_atom_site_fract_z
Na1 Na 0.0000 0.0000 0.2001
U1 U 0.0000 0.0000 0.0000
P1 P 0.0000 0.0000 0.4085
N1 N 0.0129 0.5064 0.2560
```

Properties
**Spin magnetization**: 0.0 μB per formula unit
**Crystal system**: trigonal
**Raw total energy**: -7.314 eV per atom
**Uncorrected formation energy**: -5.8 eV/f.u.